A plane-wave DFT calculation with PBE with a Hubbard U was carried out for an optimized crystal structure of InMoF2.

E above lowest polymorph   0.000 eV/atom
Fermi-level density of states   0.230 states/eV/atom
DFT total energy   -18.152 eV/f.u.

Cell: 8.213 8.213 8.213 Å, 24.35 24.35 24.35°
Each line ends with the local moment (μB).
Element x y z (fractional)
Mo 0.000 0.000 0.000  3.50
F 0.912 0.912 0.912  0.03
F 0.088 0.088 0.088  0.03
In 0.500 0.500 0.500  0.00